Record 1
DFT (PBE) results for an optimized crystal structure of Tl2V2CrSe6.

Cell and atoms, written as POSCAR:
```
Tl2V2CrSe6
1.0
3.132 -5.579 0.000
3.132 5.579 0.000
-2.412 0.000 7.762
Tl V Cr Se
2 2 1 6
direct
0.158 0.842 0.000
0.842 0.158 0.000
0.317 0.683 0.500
0.683 0.317 0.500
0.000 0.000 0.500
0.079 0.401 0.689
0.274 0.274 0.328
0.401 0.079 0.689
0.599 0.921 0.311
0.726 0.726 0.672
0.921 0.599 0.311
```

Properties
E (eV/atom): -5.434
Formation energy (no corrections) (eV/atom): -0.571
Magnetization (μB/cell): 6.00

=====

Record 2
DFT (PBE) results for an optimized crystal structure of Tl2VCr2Se6.

Cell and atoms, written as POSCAR:
```
Tl2VCr2Se6
1.0
3.196 -5.544 0.000
3.196 5.544 0.000
-2.153 0.000 7.711
Tl V Cr Se
2 1 2 6
direct
0.165 0.835 0.000
0.835 0.165 0.000
0.000 0.000 0.500
0.330 0.670 0.500
0.670 0.330 0.500
0.063 0.395 0.682
0.274 0.274 0.320
0.395 0.063 0.682
0.605 0.937 0.318
0.726 0.726 0.680
0.937 0.605 0.318
```

Properties
E (eV/atom): -5.441
Formation energy (no corrections) (eV/atom): -0.531
Magnetization (μB/cell): 7.03

=====

Record 3
DFT (PBE) results for an optimized crystal structure of TlVCrSe3.

Cell and atoms, written as POSCAR:
```
TlVCrSe3
1.0
1.838 -7.807 0.000
1.838 7.807 0.000
0.000 0.000 9.557
Tl V Cr Se
2 2 2 6
direct
0.238 0.762 0.750
0.762 0.238 0.250
0.000 0.000 0.000
0.000 0.000 0.500
0.474 0.526 0.250
0.526 0.474 0.750
0.073 0.927 0.250
0.385 0.615 0.047
0.385 0.615 0.453
0.615 0.385 0.547
0.615 0.385 0.953
0.927 0.073 0.750
```

Properties
E (eV/atom): -5.753
Formation energy (no corrections) (eV/atom): -0.492
Magnetization (μB/cell): 1.71

=====

Record 4
DFT (PBE) results for an optimized crystal structure of Tl3VCr3Se8.

Cell and atoms, written as POSCAR:
```
Tl3VCr3Se8
1.0
3.741 2.160 7.592
-3.741 2.160 7.592
0.000 -4.320 7.592
Tl V Cr Se
3 1 3 8
direct
0.000 0.500 0.500
0.500 0.000 0.500
0.500 0.500 0.000
0.500 0.500 0.500
0.000 0.000 0.500
0.000 0.500 0.000
0.500 0.000 0.000
0.226 0.226 0.226
0.228 0.727 0.727
0.273 0.273 0.772
0.273 0.772 0.273
0.727 0.228 0.727
0.727 0.727 0.228
0.772 0.273 0.273
0.774 0.774 0.774
```

Properties
E (eV/atom): -5.381
Formation energy (no corrections) (eV/atom): -0.517
Magnetization (μB/cell): 10.13

=====

Record 5
DFT (PBE) results for an optimized crystal structure of Y3Tl4CrSe8.

Cell and atoms, written as POSCAR:
```
Y3Tl4CrSe8
1.0
4.098 2.366 7.749
-4.098 2.366 7.749
0.000 -4.731 7.749
Y Tl Cr Se
3 4 1 8
direct
0.000 0.500 0.500
0.500 0.000 0.500
0.500 0.500 0.000
0.000 0.000 0.500
0.000 0.500 0.000
0.500 0.000 0.000
0.500 0.500 0.500
0.000 0.000 0.000
0.221 0.221 0.754
0.221 0.754 0.221
0.246 0.779 0.779
0.264 0.264 0.264
0.736 0.736 0.736
0.754 0.221 0.221
0.779 0.246 0.779
0.779 0.779 0.246
```

Properties
E (eV/atom): -5.271
Formation energy (no corrections) (eV/atom): -1.123
Magnetization (μB/cell): 3.01

=====

Record 6
DFT (PBE) results for an optimized crystal structure of Tl3ZnCr2Se6.

Cell and atoms, written as POSCAR:
```
Tl3ZnCr2Se6
1.0
3.350 -5.806 0.000
3.350 5.806 0.000
-2.223 0.000 7.332
Tl Zn Cr Se
3 1 2 6
direct
0.000 0.000 0.000
0.337 0.663 0.000
0.663 0.337 0.000
0.500 0.500 0.500
0.167 0.833 0.500
0.833 0.167 0.500
0.091 0.438 0.315
0.216 0.216 0.677
0.438 0.091 0.315
0.562 0.909 0.685
0.784 0.784 0.323
0.909 0.562 0.685
```

Properties
E (eV/atom): -4.487
Formation energy (no corrections) (eV/atom): -0.443
Magnetization (μB/cell): 5.39